(1)
First-principles (PBE) data for Bi2AsSe after structural relaxation, as listed in Alexandria via LeMat-Bulk.

Cell lengths 5.2240, 5.2240, 5.2240 Å; angles 60.00, 60.00, 60.00 degrees
Closest atoms and distances in Å follow each position.
Positions (direct):
Bi 0.2500 0.2500 0.2500  4 Se 3.20, 4 As 3.20
Bi 0.7500 0.7500 0.7500  4 Se 3.20, 4 As 3.20
As 0.0000 0.0000 0.0000  8 Bi 3.20
Se 0.5000 0.5000 0.5000  8 Bi 3.20

The value obtained for the total magnetization is 0.0 μB/f.u. The calculation puts the uncorrected formation energy at 0.0797 eV per atom. For the energy above the most stable polymorph in this dataset, the calculation gives 0.71 eV per formula unit. As for the space group: Fm-3m (225). The crystal system is cubic.

***

(2)
First-principles (PBE) data for Ho2MgFe after structural relaxation, as listed in Alexandria via LeMat-Bulk.

Cell lengths 3.4835, 6.3109, 9.4819 Å; angles 74.73, 79.42, 73.98 degrees
Closest atoms and distances in Å follow each position.
Positions (direct):
Ho 0.6195 0.4152 0.3459  3 Fe 2.83-3.12
Ho 0.3882 0.9961 0.2274  3 Fe 2.82-3.04
Ho 0.3805 0.5848 0.6541  3 Fe 2.83-3.12
Ho 0.6118 0.0039 0.7726  3 Fe 2.82-3.04
Fe 0.1813 0.1079 0.5294  2 Fe 2.32
Fe 0.8187 0.8921 0.4706  2 Fe 2.32
Mg 0.8589 0.3249 0.9573  2 Mg 2.99, 2 Ho 3.33
Mg 0.1411 0.6751 0.0427  2 Mg 2.99, 2 Ho 3.33

The value obtained for the total magnetization is 1.5 μB/f.u. Its formation energy is 0.004 eV/atom. As for the space group: C2/m (12). The crystal system is monoclinic.

***

(3)
First-principles (PBE) data for Cd2IrSe after structural relaxation, as listed in Alexandria via LeMat-Bulk.

Cell lengths 7.1158, 7.1158, 4.2143 Å; angles 72.80, 72.80, 24.58 degrees
Closest atoms and distances in Å follow each position.
Positions (direct):
Cd 0.4348 0.4348 0.5637  2 Ir 2.88, 6 Cd 3.03-3.13
Cd 0.0652 0.0652 0.9363  2 Ir 2.88, 6 Cd 3.03-3.13
Se 0.2500 0.2500 0.2500  4 Ir 2.60
Ir 0.7500 0.7500 0.7500  4 Se 2.60, 4 Cd 2.88

The value obtained for the total magnetization is 0.0 μB/f.u. The calculation puts the uncorrected formation energy at 0.1604 eV per atom. As for the space group: C2/m (12). The crystal system is monoclinic.

***

(4)
First-principles (PBE) data for PmScPdPb after structural relaxation, as listed in Alexandria via LeMat-Bulk.

Cell lengths 5.1459, 5.1459, 5.1459 Å; angles 60.00, 60.00, 60.00 degrees
Closest atoms and distances in Å follow each position.
Positions (direct):
Pb 0.0000 0.0000 0.0000  4 Sc 3.15, 4 Pm 3.15
Pm 0.7500 0.7500 0.7500  4 Pd 3.15, 4 Pb 3.15
Pd 0.5000 0.5000 0.5000  4 Pm 3.15, 4 Sc 3.15
Sc 0.2500 0.2500 0.2500  4 Pb 3.15, 4 Pd 3.15

The value obtained for the total magnetization is 0.0 μB/f.u. Its formation energy is -0.549 eV/atom. As for the space group: F-43m (216). The crystal system is cubic.